(1)
A plane-wave DFT calculation with PBE was carried out for a geometry-optimized ZrHCl3 structure.

Cell: 4.3411 4.3411 4.3411 Å, 90.00 90.00 90.00°
With the nearest neighbours (Å) after each atom.
Element x y z (fractional)
H1 0.0000 0.0000 0.0000  6 Cl 2.17
Zr1 0.5000 0.5000 0.5000  12 Cl 3.07
Cl1 0.5000 0.0000 0.0000  2 H 2.17
Cl2 0.0000 0.5000 0.0000  2 H 2.17
Cl3 0.0000 0.0000 0.5000  2 H 2.17

***

(2)
A plane-wave DFT calculation with PBE was carried out for a geometry-optimized HfCl structure.

Output
ΔE_f (raw), eV per atom: -0.54

Cell: 5.6169 6.0075 9.9298 Å, 90.00 90.00 90.00°
With the nearest neighbours (Å) after each atom.
Element x y z (fractional)
Cl1 0.8127 0.7960 0.4118  4 Hf 2.56-2.82
Cl2 0.1873 0.2960 0.0882  4 Hf 2.56-2.82
Cl3 0.3215 0.8750 0.2864  3 Hf 2.55-2.73
Cl4 0.6785 0.3750 0.2136  3 Hf 2.55-2.73
Cl5 0.6873 0.2040 0.9118  4 Hf 2.56-2.82
Cl6 0.1785 0.1250 0.7864  3 Hf 2.55-2.73
Cl7 0.3127 0.7040 0.5882  4 Hf 2.56-2.82
Cl8 0.8215 0.6250 0.7136  3 Hf 2.55-2.73
Hf1 0.5779 0.0104 0.6852  4 Cl 2.55-2.70
Hf2 0.1293 0.1123 0.4945  4 Cl 2.73-2.91, 1 Hf 2.90
Hf3 0.3707 0.8877 0.9945  4 Cl 2.73-2.91, 1 Hf 2.90
Hf4 0.0779 0.4896 0.3148  4 Cl 2.55-2.70
Hf5 0.4221 0.5104 0.8148  4 Cl 2.55-2.70
Hf6 0.9221 0.9896 0.1852  4 Cl 2.55-2.70
Hf7 0.6293 0.3877 0.5055  4 Cl 2.73-2.91, 1 Hf 2.90
Hf8 0.8707 0.6123 0.0055  4 Cl 2.73-2.91, 1 Hf 2.90

***

(3)
A plane-wave DFT calculation with PBE was carried out for a geometry-optimized HfCl structure.

Output
ΔE_f (raw), eV per atom: -0.36

Cell: 7.5640 10.1808 9.1684 Å, 90.00 90.00 90.00°
With the nearest neighbours (Å) after each atom.
Element x y z (fractional)
Hf1 0.0000 0.3596 0.0000  4 Cl 2.58-2.68, 1 Hf 2.86
Hf2 0.2500 0.1096 0.2500  4 Cl 2.58-2.68, 1 Hf 2.86
Hf3 0.5000 0.1404 0.0000  4 Cl 2.58-2.68, 1 Hf 2.86
Hf4 0.7500 0.6096 0.2500  4 Cl 2.58-2.68, 1 Hf 2.86
Hf5 0.0000 0.8596 0.5000  4 Cl 2.58-2.68, 1 Hf 2.86
Hf6 0.2500 0.3904 0.2500  4 Cl 2.58-2.68, 1 Hf 2.86
Hf7 0.5000 0.6404 0.5000  4 Cl 2.58-2.68, 1 Hf 2.86
Hf8 0.0000 0.6404 0.0000  4 Cl 2.58-2.68, 1 Hf 2.86
Hf9 0.2500 0.8904 0.7500  4 Cl 2.58-2.68, 1 Hf 2.86
Hf10 0.0000 0.1404 0.5000  4 Cl 2.58-2.68, 1 Hf 2.86
Hf11 0.5000 0.3596 0.5000  4 Cl 2.58-2.68, 1 Hf 2.86
Hf12 0.5000 0.8596 0.0000  4 Cl 2.58-2.68, 1 Hf 2.86
Hf13 0.2500 0.6096 0.7500  4 Cl 2.58-2.68, 1 Hf 2.86
Hf14 0.7500 0.8904 0.2500  4 Cl 2.58-2.68, 1 Hf 2.86
Hf15 0.7500 0.1096 0.7500  4 Cl 2.58-2.68, 1 Hf 2.86
Hf16 0.7500 0.3904 0.7500  4 Cl 2.58-2.68, 1 Hf 2.86
Cl1 0.3003 0.5000 0.0000  4 Hf 2.58-2.68
Cl2 0.4497 0.7500 0.2500  4 Hf 2.58-2.68
Cl3 0.5503 0.2500 0.2500  4 Hf 2.58-2.68
Cl4 0.8003 0.5000 0.5000  4 Hf 2.58-2.68
Cl5 0.6997 0.0000 0.5000  4 Hf 2.58-2.68
Cl6 0.3003 0.0000 0.5000  4 Hf 2.58-2.68
Cl7 0.6997 0.5000 0.0000  4 Hf 2.58-2.68
Cl8 0.0503 0.7500 0.2500  4 Hf 2.58-2.68
Cl9 0.5503 0.7500 0.7500  4 Hf 2.58-2.68
Cl10 0.9497 0.7500 0.7500  4 Hf 2.58-2.68
Cl11 0.0503 0.2500 0.7500  4 Hf 2.58-2.68
Cl12 0.1997 0.0000 0.0000  4 Hf 2.58-2.68
Cl13 0.1997 0.5000 0.5000  4 Hf 2.58-2.68
Cl14 0.9497 0.2500 0.2500  4 Hf 2.58-2.68
Cl15 0.8003 0.0000 0.0000  4 Hf 2.58-2.68
Cl16 0.4497 0.2500 0.7500  4 Hf 2.58-2.68

***

(4)
A plane-wave DFT calculation with PBE was carried out for a geometry-optimized HfCl structure.

Output
ΔE_f (raw), eV per atom: -0.74

Cell: 9.7271 9.7271 3.2726 Å, 90.00 90.00 120.00°
With the nearest neighbours (Å) after each atom.
Element x y z (fractional)
Cl1 0.9522 0.6801 0.2500  4 Hf 2.64-2.75
Cl2 0.2721 0.9522 0.7500  4 Hf 2.64-2.75
Cl3 0.0478 0.3199 0.7500  4 Hf 2.64-2.75
Cl4 0.6801 0.7279 0.7500  4 Hf 2.64-2.75
Cl5 0.7279 0.0478 0.2500  4 Hf 2.64-2.75
Cl6 0.3199 0.2721 0.2500  4 Hf 2.64-2.75
Hf1 0.3726 0.5068 0.7500  4 Cl 2.64-2.75
Hf2 0.4932 0.8657 0.7500  4 Cl 2.64-2.75
Hf3 0.8657 0.3726 0.2500  4 Cl 2.64-2.75
Hf4 0.5068 0.1343 0.2500  4 Cl 2.64-2.75
Hf5 0.6274 0.4932 0.2500  4 Cl 2.64-2.75
Hf6 0.1343 0.6274 0.7500  4 Cl 2.64-2.75

***

no.,DFT total energy (eV for the cell shown)
1,-17.89
2,-102.99
3,-200.38
4,-79.62